An optimized crystal structure of Rb2ZrScCl6. Source: Alexandria via LeMat-Bulk, functional PBE-GGA.

Output
Density of states at the Fermi level in states/eV/cell: 2.8
Total energy in eV/atom: -4.48
Raw formation energy in eV/atom: -1.693
Space-group type: Fm-3m, No. 225

Cell lengths 7.3315, 7.3315, 7.3315 Å; angles 60.00, 60.00, 60.00 degrees
Fractional coordinates of all 10 atoms:
Rb 0.2500 0.2500 0.2500
Rb 0.7500 0.7500 0.7500
Zr 0.0000 0.0000 0.0000
Sc 0.5000 0.5000 0.5000
Cl 0.2538 0.2538 0.7462
Cl 0.2538 0.7462 0.2538
Cl 0.2538 0.7462 0.7462
Cl 0.7462 0.2538 0.2538
Cl 0.7462 0.2538 0.7462
Cl 0.7462 0.7462 0.2538